Density functional theory data (PBE with a Hubbard U) for a geometry-optimized Na2Co5Mo4Cl4O16 structure.

```
Na2Co5Mo4Cl4O16
1.0
7.030 0.000 0.000
1.348 6.903 0.000
2.819 2.343 10.175
Na Co Mo Cl O
2 5 4 4 16
direct
0.174 0.173 0.494
0.826 0.827 0.506
0.058 0.416 0.864
0.415 0.058 0.864
0.500 0.500 0.500
0.585 0.942 0.136
0.942 0.584 0.136
0.054 0.053 0.152
0.459 0.459 0.194
0.541 0.541 0.806
0.946 0.947 0.848
0.141 0.532 0.625
0.469 0.859 0.375
0.531 0.141 0.625
0.859 0.468 0.375
0.015 0.686 0.918
0.024 0.023 0.321
0.107 0.107 0.872
0.233 0.557 0.142
0.314 0.984 0.082
0.361 0.361 0.868
0.401 0.401 0.370
0.443 0.768 0.858
0.557 0.232 0.142
0.599 0.599 0.630
0.639 0.639 0.132
0.686 0.016 0.918
0.767 0.443 0.858
0.893 0.893 0.128
0.976 0.977 0.679
0.985 0.314 0.082
```

Calculated values
VASP energy   -187.640 eV for the cell shown
Calculated density   3.77 g/cm³
DOS at the Fermi energy   0.00 states/eV per cell